Y2OsRh | PBE-GGA | optimized geometry

Geometry as POSCAR:
```
Y2OsRh
1.0
7.4464 0.0000 0.0000
0.0000 7.4464 0.0000
0.0000 0.0000 6.1733
Y Os Rh
8 4 4
Direct
0.2452 0.7500 0.1250 Y
0.2500 0.2452 0.8750 Y
0.2500 0.2548 0.3750 Y
0.2548 0.7500 0.6250 Y
0.7452 0.2500 0.6250 Y
0.7500 0.7452 0.3750 Y
0.7500 0.7548 0.8750 Y
0.7548 0.2500 0.1250 Y
0.0000 0.0000 0.5000 Os
0.0000 0.5000 0.7500 Os
0.5000 0.0000 0.2500 Os
0.5000 0.5000 0.0000 Os
0.0000 0.0000 0.0000 Rh
0.0000 0.5000 0.2500 Rh
0.5000 0.0000 0.7500 Rh
0.5000 0.5000 0.5000 Rh
```

Calculated values
Density of states at the Fermi level   1.073 states/eV/atom
Formation energy from the elements   0.1030 eV per atom
E   -124.4 eV per cell